(1)
# LiFeRe | Alexandria via LeMat-Bulk | PBE | relaxed
data_LiFeRe
_chemical_formula_sum 'Li2 Fe2 Re2'
_cell_length_a 2.884
_cell_length_b 2.884
_cell_length_c 8.871
_cell_angle_alpha 90.00
_cell_angle_beta 90.00
_cell_angle_gamma 90.00
_space_group_name_H-M_alt 'I 4 m m'
_space_group_IT_number 107
_space_group_name_Hall 'I 4 -2'
loop_
_atom_site_label
_atom_site_type_symbol
_atom_site_fract_x
_atom_site_fract_y
_atom_site_fract_z
Li1 Li 0.000 0.000 0.000
Fe1 Fe 0.000 0.000 0.663
Re1 Re 0.000 0.000 0.311
# Energy relative to the elements ... 0.298 eV per atom
# Theoretical density ... 11.21 g/cm3
# E above lowest polymorph ... 0.21 eV per formula unit
# Fermi-level density of states ... 3.40 states/eV/cell
# Final energy ... -7.310 eV per atom

---

(2)
# K3NaAu2 | Alexandria via LeMat-Bulk | PBE | relaxed
data_K3NaAu2
_chemical_formula_sum 'K12 Na4 Au8'
_cell_length_a 7.950
_cell_length_b 10.412
_cell_length_c 12.544
_cell_angle_alpha 90.00
_cell_angle_beta 112.07
_cell_angle_gamma 90.00
_space_group_name_H-M_alt 'P 1 21/c 1'
_space_group_IT_number 14
loop_
_space_group_symop_operation_xyz
'x,y,z'
'-x,-y,-z'
'-x,y+1/2,-z+1/2'
'x,-y+1/2,z+1/2'
loop_
_atom_site_label
_atom_site_type_symbol
_atom_site_fract_x
_atom_site_fract_y
_atom_site_fract_z
K1 K 0.225 0.045 0.205
K2 K 0.251 0.705 0.000
K3 K 0.275 0.047 0.797
Na1 Na 0.249 0.175 0.501
Au1 Au 0.060 0.739 0.208
Au2 Au 0.441 0.742 0.791
# Energy relative to the elements ... -0.218 eV per atom
# Theoretical density ... 3.69 g/cm3
# E above lowest polymorph ... 0.00 eV per formula unit
# Fermi-level density of states ... 10.49 states/eV/cell
# Final energy ... -2.079 eV per atom

---

(3)
# CaTb3Pt8 | Alexandria via LeMat-Bulk | PBE | relaxed
data_CaTb3Pt8
_chemical_formula_sum 'Ca1 Tb3 Pt8'
_cell_length_a 5.4622
_cell_length_b 5.4622
_cell_length_c 8.8853
_cell_angle_alpha 90.00
_cell_angle_beta 90.00
_cell_angle_gamma 120.00
_space_group_name_H-M_alt 'P 3 m 1'
_space_group_IT_number 156
loop_
_space_group_symop_operation_xyz
'x,y,z'
'-y,x-y,z'
'-x+y,-x,z'
'-y,-x,z'
'-x+y,y,z'
'x,x-y,z'
loop_
_atom_site_label
_atom_site_type_symbol
_atom_site_fract_x
_atom_site_fract_y
_atom_site_fract_z
Ca1 Ca 0.0000 0.0000 0.0000
Tb1 Tb 0.0000 0.0000 0.3656
Tb2 Tb 0.6667 0.3333 0.5069
Tb3 Tb 0.6667 0.3333 0.8790
Pt1 Pt 0.1641 0.3283 0.6870
Pt2 Pt 0.3333 0.6667 0.4389
Pt3 Pt 0.3333 0.6667 0.9391
Pt4 Pt 0.5026 0.0052 0.1905
# Energy relative to the elements ... -1.029 eV per atom
# Theoretical density ... 15.03 g/cm3
# Fermi-level density of states ... 6.30 states/eV/cell
# Final energy ... -6.380 eV per atom

---

(4)
# BaIn | Alexandria via LeMat-Bulk | PBE | relaxed
data_BaIn
_chemical_formula_sum 'Ba6 In6'
_cell_length_a 9.808
_cell_length_b 9.808
_cell_length_c 9.808
_cell_angle_alpha 90.00
_cell_angle_beta 90.00
_cell_angle_gamma 90.00
_space_group_name_H-M_alt 'P m -3 n'
_space_group_IT_number 223
_space_group_name_Hall '-P 4n 2 3'
loop_
_atom_site_label
_atom_site_type_symbol
_atom_site_fract_x
_atom_site_fract_y
_atom_site_fract_z
Ba1 Ba 0.000 0.250 0.500
In1 In 0.000 0.500 0.250
# Energy relative to the elements ... 0.426 eV per atom
# Theoretical density ... 2.66 g/cm3
# Fermi-level density of states ... 17.55 states/eV/cell
# Final energy ... -1.905 eV per atom

---

(5)
# LiPaCoPt | Alexandria via LeMat-Bulk | PBE | relaxed
data_LiPaCoPt
_chemical_formula_sum 'Li4 Pa4 Co4 Pt4'
_cell_length_a 6.510
_cell_length_b 6.510
_cell_length_c 6.510
_cell_angle_alpha 90.00
_cell_angle_beta 90.00
_cell_angle_gamma 90.00
_space_group_name_H-M_alt 'F -4 3 m'
_space_group_IT_number 216
_space_group_name_Hall 'F -4 2 3'
loop_
_atom_site_label
_atom_site_type_symbol
_atom_site_fract_x
_atom_site_fract_y
_atom_site_fract_z
Li1 Li 0.000 0.000 0.000
Pa1 Pa 0.000 0.000 0.500
Co1 Co 0.250 0.250 0.250
Pt1 Pt 0.250 0.250 0.750
# Energy relative to the elements ... -0.379 eV per atom
# Theoretical density ... 11.84 g/cm3
# Fermi-level density of states ... 14.12 states/eV/cell
# Final energy ... -6.519 eV per atom

---

(6)
# Be2CrW | Alexandria via LeMat-Bulk | PBE | relaxed
data_Be2CrW
_chemical_formula_sum 'Be2 Cr1 W1'
_cell_length_a 2.583
_cell_length_b 3.383
_cell_length_c 5.131
_cell_angle_alpha 90.00
_cell_angle_beta 90.00
_cell_angle_gamma 90.00
_space_group_name_H-M_alt 'P m m m'
_space_group_IT_number 47
loop_
_space_group_symop_operation_xyz
'x,y,z'
'-x,-y,-z'
'-x,-y,z'
'x,y,-z'
'x,-y,-z'
'-x,y,z'
'-x,y,-z'
'x,-y,z'
loop_
_atom_site_label
_atom_site_type_symbol
_atom_site_fract_x
_atom_site_fract_y
_atom_site_fract_z
Be1 Be 0.000 0.000 0.223
Cr1 Cr 0.500 0.500 0.000
W1 W 0.500 0.500 0.500
# Energy relative to the elements ... 0.160 eV per atom
# Theoretical density ... 9.40 g/cm3
# E above lowest polymorph ... 0.93 eV per formula unit
# Fermi-level density of states ... 2.47 states/eV/cell
# Final energy ... -7.348 eV per atom

---

> Which of these has the lowest theoretical density?

BaIn